Record 1
VASP calculation (PBEsol) on crystalline TaZnPb2 at its relaxed geometry.

Geometry as CIF:
```
data_TaZnPb2
_cell_length_a 3.1470
_cell_length_b 5.0257
_cell_length_c 5.4751
_cell_angle_alpha 90.00
_cell_angle_beta 90.00
_cell_angle_gamma 90.00
_symmetry_space_group_name_H-M 'P 1'
_symmetry_Int_Tables_number 1
loop_
_symmetry_equiv_pos_as_xyz
'x,y,z'
loop_
_atom_site_label
_atom_site_fract_x
_atom_site_fract_y
_atom_site_fract_z
Ta1 0.0000 0.0000 0.0000
Zn1 0.5000 0.0000 0.5000
Pb1 0.0000 0.5000 0.5000
Pb2 0.5000 0.5000 0.0000
```

As for the formation energy: 0.593 eV per atom. The calculation puts the density of states at the Fermi level at 2.2 states/eV per cell.

Record 2
VASP calculation (PBEsol) on crystalline Ta2ZnPb at its relaxed geometry.

Geometry as CIF:
```
data_Ta2ZnPb
_cell_length_a 2.9974
_cell_length_b 2.9974
_cell_length_c 8.0916
_cell_angle_alpha 90.00
_cell_angle_beta 90.00
_cell_angle_gamma 90.00
_symmetry_space_group_name_H-M 'P 1'
_symmetry_Int_Tables_number 1
loop_
_symmetry_equiv_pos_as_xyz
'x,y,z'
loop_
_atom_site_label
_atom_site_fract_x
_atom_site_fract_y
_atom_site_fract_z
Ta1 0.0000 0.0000 0.2161
Ta2 0.0000 0.0000 0.7839
Zn1 0.5000 0.5000 0.0000
Pb1 0.5000 0.5000 0.5000
```

As for the formation energy: 0.396 eV per atom. The calculation puts the density of states at the Fermi level at 1.6 states/eV per cell.

Record 3
VASP calculation (PBEsol) on crystalline Ta2ZnPb at its relaxed geometry.

Geometry as CIF:
```
data_Ta2ZnPb
_cell_length_a 4.0465
_cell_length_b 4.0465
_cell_length_c 8.8162
_cell_angle_alpha 90.00
_cell_angle_beta 90.00
_cell_angle_gamma 90.00
_symmetry_space_group_name_H-M 'P 1'
_symmetry_Int_Tables_number 1
loop_
_symmetry_equiv_pos_as_xyz
'x,y,z'
loop_
_atom_site_label
_atom_site_fract_x
_atom_site_fract_y
_atom_site_fract_z
Ta1 0.0000 0.5000 0.2500
Ta2 0.0000 0.5000 0.7500
Ta3 0.5000 0.0000 0.2500
Ta4 0.5000 0.0000 0.7500
Zn1 0.0000 0.0000 0.0000
Zn2 0.5000 0.5000 0.5000
Pb1 0.0000 0.0000 0.5000
Pb2 0.5000 0.5000 0.0000
```

As for the formation energy: 0.345 eV per atom. The calculation puts the density of states at the Fermi level at 4.1 states/eV per cell.

Record 4
VASP calculation (PBEsol) on crystalline TaZn2Pb at its relaxed geometry.

Geometry as CIF:
```
data_TaZn2Pb
_cell_length_a 3.0754
_cell_length_b 3.0754
_cell_length_c 27.9820
_cell_angle_alpha 90.00
_cell_angle_beta 90.00
_cell_angle_gamma 120.00
_symmetry_space_group_name_H-M 'P 1'
_symmetry_Int_Tables_number 1
loop_
_symmetry_equiv_pos_as_xyz
'x,y,z'
loop_
_atom_site_label
_atom_site_fract_x
_atom_site_fract_y
_atom_site_fract_z
Ta1 0.0000 0.0000 0.0000
Ta2 0.3333 0.6667 0.6667
Ta3 0.6667 0.3333 0.3333
Zn1 0.0000 0.0000 0.2577
Zn2 0.0000 0.0000 0.7423
Zn3 0.3333 0.6667 0.4090
Zn4 0.3333 0.6667 0.9243
Zn5 0.6667 0.3333 0.0757
Zn6 0.6667 0.3333 0.5910
Pb1 0.0000 0.0000 0.5000
Pb2 0.3333 0.6667 0.1667
Pb3 0.6667 0.3333 0.8333
```

As for the formation energy: 0.307 eV per atom. The calculation puts the density of states at the Fermi level at 8.0 states/eV per cell.

Record 5
VASP calculation (PBEsol) on crystalline Ta2ZnPb at its relaxed geometry.

Geometry as CIF:
```
data_Ta2ZnPb
_cell_length_a 2.9132
_cell_length_b 2.9132
_cell_length_c 9.2766
_cell_angle_alpha 90.00
_cell_angle_beta 90.00
_cell_angle_gamma 90.00
_symmetry_space_group_name_H-M 'P 1'
_symmetry_Int_Tables_number 1
loop_
_symmetry_equiv_pos_as_xyz
'x,y,z'
loop_
_atom_site_label
_atom_site_fract_x
_atom_site_fract_y
_atom_site_fract_z
Ta1 0.0000 0.0000 0.0000
Ta2 0.5000 0.5000 0.2366
Zn1 0.0000 0.0000 0.4392
Pb1 0.5000 0.5000 0.7331
```

As for the formation energy: 0.371 eV per atom. The calculation puts the density of states at the Fermi level at 4.1 states/eV per cell.

Record 6
VASP calculation (PBEsol) on crystalline Ta2ZnPb at its relaxed geometry.

Geometry as CIF:
```
data_Ta2ZnPb
_cell_length_a 2.9231
_cell_length_b 4.5340
_cell_length_c 5.6728
_cell_angle_alpha 90.00
_cell_angle_beta 102.73
_cell_angle_gamma 90.00
_symmetry_space_group_name_H-M 'P 1'
_symmetry_Int_Tables_number 1
loop_
_symmetry_equiv_pos_as_xyz
'x,y,z'
loop_
_atom_site_label
_atom_site_fract_x
_atom_site_fract_y
_atom_site_fract_z
Ta1 0.2432 0.0000 0.2312
Ta2 0.7568 0.0000 0.7688
Zn1 0.5000 0.5000 0.0000
Pb1 0.0000 0.5000 0.5000
```

As for the formation energy: 0.350 eV per atom. The calculation puts the density of states at the Fermi level at 1.8 states/eV per cell.

Record 7
VASP calculation (PBEsol) on crystalline Zr2TaPb at its relaxed geometry.

Geometry as CIF:
```
data_Zr2TaPb
_cell_length_a 3.1595
_cell_length_b 5.0004
_cell_length_c 5.3673
_cell_angle_alpha 90.00
_cell_angle_beta 95.47
_cell_angle_gamma 90.00
_symmetry_space_group_name_H-M 'P 1'
_symmetry_Int_Tables_number 1
loop_
_symmetry_equiv_pos_as_xyz
'x,y,z'
loop_
_atom_site_label
_atom_site_fract_x
_atom_site_fract_y
_atom_site_fract_z
Zr1 0.0000 0.0000 0.0000
Zr2 0.1505 0.5000 0.6476
Ta1 0.5916 0.0000 0.5048
Pb1 0.5692 0.5000 0.1627
```

As for the formation energy: 0.015 eV per atom. The calculation puts the density of states at the Fermi level at 3.2 states/eV per cell.

Record 8
VASP calculation (PBEsol) on crystalline ZrTaPb2 at its relaxed geometry.

Geometry as CIF:
```
data_ZrTaPb2
_cell_length_a 3.7465
_cell_length_b 4.5832
_cell_length_c 5.1171
_cell_angle_alpha 90.00
_cell_angle_beta 90.00
_cell_angle_gamma 90.00
_symmetry_space_group_name_H-M 'P 1'
_symmetry_Int_Tables_number 1
loop_
_symmetry_equiv_pos_as_xyz
'x,y,z'
loop_
_atom_site_label
_atom_site_fract_x
_atom_site_fract_y
_atom_site_fract_z
Zr1 0.0000 0.0000 0.0000
Ta1 0.5000 0.0000 0.5000
Pb1 0.0000 0.5000 0.5000
Pb2 0.5000 0.5000 0.0000
```

As for the formation energy: 0.240 eV per atom. The calculation puts the density of states at the Fermi level at 2.3 states/eV per cell.

Record 9
VASP calculation (PBEsol) on crystalline ZrTa2Pb at its relaxed geometry.

Geometry as CIF:
```
data_ZrTa2Pb
_cell_length_a 3.6262
_cell_length_b 4.6644
_cell_length_c 9.3798
_cell_angle_alpha 90.00
_cell_angle_beta 90.00
_cell_angle_gamma 90.00
_symmetry_space_group_name_H-M 'P 1'
_symmetry_Int_Tables_number 1
loop_
_symmetry_equiv_pos_as_xyz
'x,y,z'
loop_
_atom_site_label
_atom_site_fract_x
_atom_site_fract_y
_atom_site_fract_z
Zr1 0.0000 0.0000 0.0000
Zr2 0.5000 0.5000 0.5000
Ta1 0.0000 0.5000 0.2554
Ta2 0.0000 0.5000 0.7446
Ta3 0.5000 0.0000 0.2446
Ta4 0.5000 0.0000 0.7554
Pb1 0.0000 0.0000 0.5000
Pb2 0.5000 0.5000 0.0000
```

As for the formation energy: 0.157 eV per atom. The calculation puts the density of states at the Fermi level at 6.9 states/eV per cell.

Record 10
VASP calculation (PBEsol) on crystalline ZrTa2Pb at its relaxed geometry.

Geometry as CIF:
```
data_ZrTa2Pb
_cell_length_a 3.5759
_cell_length_b 3.5759
_cell_length_c 6.1823
_cell_angle_alpha 90.00
_cell_angle_beta 90.00
_cell_angle_gamma 90.00
_symmetry_space_group_name_H-M 'P 1'
_symmetry_Int_Tables_number 1
loop_
_symmetry_equiv_pos_as_xyz
'x,y,z'
loop_
_atom_site_label
_atom_site_fract_x
_atom_site_fract_y
_atom_site_fract_z
Zr1 0.0000 0.0000 0.0000
Ta1 0.5000 0.5000 0.2456
Ta2 0.5000 0.5000 0.7544
Pb1 0.0000 0.0000 0.5000
```

As for the formation energy: 0.208 eV per atom. The calculation puts the density of states at the Fermi level at 2.9 states/eV per cell.

Record 11
VASP calculation (PBEsol) on crystalline ZrTa2Pb at its relaxed geometry.

Geometry as CIF:
```
data_ZrTa2Pb
_cell_length_a 9.9569
_cell_length_b 3.0456
_cell_length_c 5.3598
_cell_angle_alpha 90.00
_cell_angle_beta 98.01
_cell_angle_gamma 90.00
_symmetry_space_group_name_H-M 'P 1'
_symmetry_Int_Tables_number 1
loop_
_symmetry_equiv_pos_as_xyz
'x,y,z'
loop_
_atom_site_label
_atom_site_fract_x
_atom_site_fract_y
_atom_site_fract_z
Zr1 0.0000 0.0000 0.0000
Zr2 0.5000 0.5000 0.0000
Ta1 0.0069 0.5000 0.4871
Ta2 0.2587 0.5000 0.2602
Ta3 0.5069 0.0000 0.4871
Ta4 0.7587 0.0000 0.2602
Pb1 0.2500 0.0000 0.7496
Pb2 0.7500 0.5000 0.7496
```

As for the formation energy: 0.272 eV per atom. The calculation puts the density of states at the Fermi level at 6.6 states/eV per cell.

Record 12
VASP calculation (PBEsol) on crystalline ZrTa3Pb at its relaxed geometry.

Geometry as CIF:
```
data_ZrTa3Pb
_cell_length_a 4.8848
_cell_length_b 4.8848
_cell_length_c 4.8848
_cell_angle_alpha 90.00
_cell_angle_beta 90.00
_cell_angle_gamma 90.00
_symmetry_space_group_name_H-M 'P 1'
_symmetry_Int_Tables_number 1
loop_
_symmetry_equiv_pos_as_xyz
'x,y,z'
loop_
_atom_site_label
_atom_site_fract_x
_atom_site_fract_y
_atom_site_fract_z
Zr1 0.0000 0.0000 0.0000
Ta1 0.0000 0.0000 0.5000
Ta2 0.0000 0.5000 0.0000
Ta3 0.5000 0.0000 0.0000
Pb1 0.5000 0.5000 0.5000
```

As for the formation energy: 1.804 eV per atom. The calculation puts the density of states at the Fermi level at 5.7 states/eV per cell.

Record 13
VASP calculation (PBEsol) on crystalline Zr2TaPb at its relaxed geometry.

Geometry as CIF:
```
data_Zr2TaPb
_cell_length_a 3.6015
_cell_length_b 3.6015
_cell_length_c 6.4590
_cell_angle_alpha 90.00
_cell_angle_beta 90.00
_cell_angle_gamma 90.00
_symmetry_space_group_name_H-M 'P 1'
_symmetry_Int_Tables_number 1
loop_
_symmetry_equiv_pos_as_xyz
'x,y,z'
loop_
_atom_site_label
_atom_site_fract_x
_atom_site_fract_y
_atom_site_fract_z
Zr1 0.0000 0.0000 0.2382
Zr2 0.0000 0.0000 0.7618
Ta1 0.5000 0.5000 0.0000
Pb1 0.5000 0.5000 0.5000
```

As for the formation energy: -0.108 eV per atom. The calculation puts the density of states at the Fermi level at 2.9 states/eV per cell.

Record 14
VASP calculation (PBEsol) on crystalline TbPb3 at its relaxed geometry.

Geometry as CIF:
```
data_TbPb3
_cell_length_a 4.7882
_cell_length_b 4.7882
_cell_length_c 4.7882
_cell_angle_alpha 90.00
_cell_angle_beta 90.00
_cell_angle_gamma 90.00
_symmetry_space_group_name_H-M 'P 1'
_symmetry_Int_Tables_number 1
loop_
_symmetry_equiv_pos_as_xyz
'x,y,z'
loop_
_atom_site_label
_atom_site_fract_x
_atom_site_fract_y
_atom_site_fract_z
Tb1 0.0000 0.0000 0.0000
Pb1 0.0000 0.5000 0.5000
Pb2 0.5000 0.0000 0.5000
Pb3 0.5000 0.5000 0.0000
```

As for the formation energy: -0.336 eV per atom. The calculation puts the density of states at the Fermi level at 2.6 states/eV per cell.